A plane-wave DFT calculation with PBE was carried out for a relaxed TbNpFe4 crystal.

Calculated values
E above lowest polymorph = 0.000 eV per atom
formation energy = 0.58 eV per formula unit

Cell lengths 4.9147, 4.9147, 8.5752 Å; angles 90.00, 90.00, 120.00 degrees
Space group P-3m1 (No. 164)
Asymmetric unit:
1 Tb 0.3333 0.6667 0.4282 (multiplicity 2)
2 Np 0.3333 0.6667 0.0441 (multiplicity 2)
3 Fe 0.0000 0.0000 0.0000 (multiplicity 1)
4 Fe 0.0000 0.0000 0.5000 (multiplicity 1)
5 Fe 0.1661 0.3321 0.7501 (multiplicity 6)


A plane-wave DFT calculation with PBE was carried out for a relaxed BaBe2O crystal.

Calculated values
total energy = -61.9 eV for the cell shown

Cell lengths 5.7723, 5.7723, 8.2159 Å; angles 90.00, 90.00, 90.00 degrees
Space group I4_1/amd (No. 141, origin choice 2)
Asymmetric unit:
1 Ba 0.0000 0.2500 0.3750 (multiplicity 4)
2 Be 0.0000 0.0000 0.0000 (multiplicity 8)
3 O 0.0000 0.2500 0.8750 (multiplicity 4)